VASP calculation (PBE) on a relaxed Ta5Sb4 crystal.

Geometry as POSCAR:
```
Ta5Sb4
1.0
-5.196 5.196 1.705
5.196 -5.196 1.705
5.196 5.196 -1.705
Ta Sb
5 4
Cartesian
0.000 0.000 0.000 Ta
4.724 -1.568 1.705 Ta
0.472 6.764 0.000 Ta
3.629 0.472 0.000 Ta
1.568 4.724 1.705 Ta
1.837 -1.419 1.705 Sb
3.359 6.615 0.000 Sb
3.777 3.359 0.000 Sb
1.419 1.837 1.705 Sb
```

Summary:
Formation energy (no corrections) (kJ per mole of atoms): 9.4
Fermi-level density of states (states/eV/atom): 0.706
Symmetry: I4/m (87)
E (eV per cell): -74.88
Energy relative to the lowest polymorph listed for this composition (meV/atom): 263.7